Material: BaZnOs
Method: DFT, GGA-PBE
State: relaxed

* energy of formation: 537 meV/atom
* crystal system: hexagonal
* DFT total energy: -4.2718 eV/atom
* V: 25.91 Å³/atom
* total magnetization: 0.001 μB per cell

a = 4.3274 Å, b = 4.3274 Å, c = 4.7924 Å
α = 90.00°, β = 90.00°, γ = 120.00°
Closest atoms and distances in Å follow each position.
Atoms (fractional coordinates):
1 Os 0.6667 0.3333 0.5002  3 Zn 2.50
2 Zn 0.3333 0.6667 0.4999  3 Os 2.50
3 Ba 0.0000 0.0000 0.0000  6 Os 3.46, 6 Zn 3.46


Material: CoTe2NCl
Method: DFT, GGA-PBE
State: relaxed

* raw formation energy: 8.4 eV/f.u.
* crystal system: tetragonal
* DFT total energy: -3.0413 eV/atom
* V: 21.12 Å³/atom
* total magnetization: 2.100 μB per cell

a = 5.5789 Å, b = 5.5789 Å, c = 3.3921 Å
α = 90.00°, β = 90.00°, γ = 90.00°
Closest atoms and distances in Å follow each position.
Atoms (fractional coordinates):
1 Cl 0.0000 0.0000 0.0000  2 N 1.70
2 Te 0.5000 0.0000 0.0000  2 Cl 2.79
3 Te 0.0000 0.5000 0.0000  2 Cl 2.79
4 Co 0.5000 0.5000 0.5000  8 Te 3.26, 2 Co 3.39
5 N 0.0000 0.0000 0.5000  2 Cl 1.70


Material: CdInPd
Method: DFT, GGA-PBE
State: relaxed

* energy of formation: -214 meV/atom
* crystal system: trigonal
* DFT total energy: -3.1623 eV/atom
* V: 19.84 Å³/atom
* total magnetization: 0.000 μB per cell

a = 3.1273 Å, b = 4.6875 Å, c = 4.6875 Å
α = 120.00°, β = 90.00°, γ = 90.00°
Closest atoms and distances in Å follow each position.
Atoms (fractional coordinates):
1 Pd 0.5047 0.6667 0.3333  3 In 2.71
2 In 0.4956 0.3333 0.6667  3 Pd 2.71
3 Cd 0.9997 0.0000 0.0000  6 Pd 3.12-3.13, 6 In 3.12-3.13, 2 Cd 3.13